Record 1
Computed, not measured: a relaxed structure of Li5MnO3F at the GGA-PBEsol level of DFT.

Values from the calculation:
- Spin magnetization: 6.00 Bohr magnetons per cell
- ΔE_f (raw): -45.46 kcal/mol of atoms

The structure in extended XYZ format:
```
20
Lattice="4.725 0.155 0.163 -1.239 6.329 0.111 -1.239 -0.230 6.325" Properties=species:S:1:pos:R:3 pbc="T T T"
Li 2.050 3.659 1.250
Li 1.535 0.935 0.987
Li 0.197 2.594 5.350
Li 2.050 1.051 3.721
Li 2.609 2.037 6.022
Li 2.609 5.903 2.358
Li -0.362 4.216 0.578
Li 0.712 5.318 5.613
Li -0.362 0.350 4.241
Li 0.197 5.202 2.879
O -1.239 3.990 2.327
O 0.544 2.557 0.762
O 0.544 0.624 2.594
O -1.239 2.109 4.109
O 1.703 5.630 4.005
O 1.703 3.696 5.837
F 1.123 0.824 5.482
F 1.123 5.430 1.118
Mn -0.327 2.267 2.393
Mn 2.574 3.986 4.207
```



Record 2
Computed, not measured: a relaxed structure of SrSnAu at the GGA-PBEsol level of DFT.

Values from the calculation:
- Calculated formation energy: -2.27 eV per formula unit
- Spin magnetization: 0.00 Bohr magnetons per cell

The structure in extended XYZ format:
```
12
Lattice="4.782 0.000 0.000 0.000 7.738 0.000 0.000 0.000 8.208" Properties=species:S:1:pos:R:3 pbc="T T T"
Au 3.586 5.403 3.384
Au 1.195 6.204 7.488
Au 1.195 2.335 4.824
Au 3.586 1.534 0.720
Sr 3.586 3.810 6.576
Sr 3.586 7.679 5.736
Sr 1.195 0.058 2.472
Sr 1.195 3.927 1.632
Sn 1.195 5.286 4.810
Sn 1.195 1.417 7.502
Sn 3.586 2.452 3.398
Sn 3.586 6.321 0.706
```



Record 3
Computed, not measured: a relaxed structure of ZnOs2Se at the GGA-PBEsol level of DFT.

Values from the calculation:
- Spin magnetization: 0.00 Bohr magnetons per cell
- ΔE_f (raw): 16.40 kcal/mol of atoms

The structure in extended XYZ format:
```
4
Lattice="2.820 0.000 0.000 0.000 4.474 0.000 0.000 0.000 4.701" Properties=species:S:1:pos:R:3 pbc="T T T"
Os 0.000 0.000 0.000
Os 1.410 0.000 2.351
Zn 0.000 2.237 2.351
Se 1.410 2.237 0.000
```